First-principles (PBE) data for a geometry-optimized BiRuN2F structure, as listed in Alexandria.

Structure (POSCAR):
```
BiRuN2F
1.0
3.944 0.000 0.000
0.000 3.944 0.000
0.000 0.000 4.266
Bi Ru N F
1 1 2 1
direct
0.000 0.000 0.000
0.500 0.500 0.500
0.000 0.500 0.500
0.500 0.000 0.500
0.500 0.500 0.000
```

Computed properties:
**Relative energy among the computed polymorphs**: 0 meV/atom
**Formation energy from raw total energies**: 0.29 eV/atom
**SG**: No. 123
**Energy**: -0.444 Ry per atom
**DOS(E_F)**: 0.7068 states/eV/atom